Record 1
Here is crystalline Pr3Sm3Pd4 at its relaxed geometry from Alexandria. Energies are from GGA-PBE.

a = 3.9697 Å, b = 11.3745 Å, c = 11.5453 Å
α = 90.00°, β = 90.00°, γ = 90.00°
Space group Amm2 (No. 38)
One atom of each set of equivalent atoms:
Pr1 0.0000 0.0000 0.0000 x2
Pr2 0.5000 0.2500 0.0854 x4
Sm1 0.0000 0.0000 0.6677 x2
Sm2 0.0000 0.1664 0.3358 x4
Pd1 0.5000 0.0000 0.2123 x2
Pd2 0.5000 0.0000 0.4624 x2
Pd3 0.5000 0.1271 0.8309 x4

Calculated values
DFT total energy	-5.560	eV/atom

Record 2
Here is crystalline Nb2Tc2As at its relaxed geometry from Alexandria. Energies are from GGA-PBE.

a = 7.5269 Å, b = 7.5269 Å, c = 3.1033 Å
α = 90.00°, β = 90.00°, γ = 90.00°
Space group P4/mbm (No. 127)
One atom of each set of equivalent atoms:
Nb1 0.1538 0.3462 0.0000 x4
Tc1 0.1387 0.6387 0.5000 x4
As1 0.0000 0.0000 0.0000 x2

Calculated values
offset from the most stable computed form	0.181	eV per atom

Record 3
Here is crystalline Sr3PbN at its relaxed geometry from Alexandria. Energies are from GGA-PBE.

a = 4.0186 Å, b = 9.3475 Å, c = 9.3073 Å
α = 90.00°, β = 90.16°, γ = 90.00°
Space group P2_1/m (No. 11)
One atom of each set of equivalent atoms:
Sr1 0.0003 0.0599 0.1866 x4
Sr2 0.4962 0.7500 0.4946 x2
Pb1 0.4998 0.2500 0.8929 x2
N1 0.0031 0.2500 0.3566 x2

Calculated values
energy relative to the elements, uncorrected	-2.3	eV/f.u.

Record 4
Here is crystalline NaPmTmTl at its relaxed geometry from Alexandria. Energies are from GGA-PBE.

a = 7.6891 Å, b = 7.6891 Å, c = 7.6891 Å
α = 90.00°, β = 90.00°, γ = 90.00°
Space group F-43m (No. 216)
One atom of each set of equivalent atoms:
Na1 0.0000 0.0000 0.0000 x4
Pm1 0.2500 0.2500 0.7500 x4
Tm1 0.2500 0.2500 0.2500 x4
Tl1 0.0000 0.0000 0.5000 x4

Calculated values
DFT total energy	-3.278	eV/atom

Record 5
Here is crystalline Cu2HCl5 at its relaxed geometry from Alexandria. Energies are from GGA-PBE.

a = 16.9477 Å, b = 6.3622 Å, c = 4.0079 Å
α = 90.00°, β = 102.76°, γ = 90.00°
Space group Cm (No. 8)
One atom of each set of equivalent atoms:
Cu1 0.0000 0.0000 0.0000 x2
Cu2 0.0003 0.5000 0.4976 x2
H1 0.2003 0.0000 0.6602 x2
Cl1 0.0795 0.2514 0.8278 x4
Cl2 0.2496 0.0000 0.4561 x2
Cl3 0.4211 0.2507 0.1772 x4

Calculated values
DFT total energy	-3.041	eV/atom

Record 6
Here is crystalline CaCdRe3 at its relaxed geometry from Alexandria. Energies are from GGA-PBE.

a = 4.9031 Å, b = 4.9031 Å, c = 4.9031 Å
α = 90.00°, β = 90.00°, γ = 90.00°
Space group Pm-3m (No. 221)
One atom of each set of equivalent atoms:
Ca1 0.0000 0.0000 0.0000 x1
Cd1 0.5000 0.5000 0.5000 x1
Re1 0.0000 0.5000 0.5000 x3

Calculated values
offset from the most stable computed form	0.000	eV per atom

The V results, record by record, are as follows: 26.07; 17.58; 34.96; 28.41; 26.34; 23.57 Å³/atom.
The N(E_F) results, record by record, are as follows: 0.8210; 1.4525; 0.5049; 1.0969; 0.3461; 1.7295 states/eV per atom.